First-principles (GGA-PBEsol) data for an optimized crystal structure of Dy7Te2Ir2, as listed in Alexandria.

* volume: 281 Å³ per cell
* density of states at the Fermi level: 0.708 states/eV/atom
* uncorrected formation energy: -10.08 eV per formula unit
* total magnetic moment: 0.0 μB/cell
* symmetry: Imm2

abc: 9.275 9.275 9.275
angles: 155.80 65.77 119.89
Fractional coordinates of all 11 atoms:
Dy 0.000 0.000 0.000
Dy 0.287 0.418 0.869
Dy 0.311 0.627 0.683
Dy 0.548 0.418 0.131
Dy 0.618 0.265 0.352
Dy 0.913 0.265 0.648
Dy 0.944 0.627 0.317
Te 0.264 0.764 0.500
Te 0.665 0.665 0.000
Ir 0.168 0.930 0.239
Ir 0.691 0.930 0.761